Entry 1:
Entry from the Open Quantum Materials Database: a geometry-optimized Ho3PuSe4 structure (PBE-GGA).

Cell and atoms, written as POSCAR:
```
Ho3PuSe4
1.0
-2.479 -1.324 -6.490
-1.932 -5.238 4.342
-3.416 2.003 0.896
Pu Ho Se
1 3 4
Direct
0.000 0.000 0.500
0.500 0.000 0.000
0.500 0.500 0.500
0.000 0.500 0.000
0.748 0.252 0.500
0.255 0.255 0.000
0.745 0.745 0.000
0.252 0.748 0.500
```

Computed properties:
space-group type	No. 65
raw total energy	-55.587	eV per cell



Entry 2:
Entry from the Open Quantum Materials Database: a geometry-optimized HoPuSi structure (PBE-GGA).

Cell and atoms, written as POSCAR:
```
HoPuSi
1.0
0.000 3.423 3.423
3.423 0.000 3.423
3.423 3.423 0.000
Si Ho Pu
1 1 1
Direct
0.000 0.000 0.000
0.250 0.250 0.250
0.750 0.750 0.750
```

Computed properties:
space-group type	No. 216
energy above the most stable polymorph in this dataset	0	meV/atom



- Which formula does entry 2 have?
  HoPuSi